(1)
The following is a DFT calculation (PBE) of a relaxed Y7Ag2Au2 crystal.

## Properties
Crystal system   orthorhombic
DFT formation energy   -2.287 eV/f.u.
N(E_F)   26.37 states/eV/cell
Electronic total energy   -5.4357 eV/atom

Structure (CIF):
```
data_Y7Ag2Au2
_cell_length_a 7.7858
_cell_length_b 10.9828
_cell_length_c 7.4637
_cell_angle_alpha 90.00
_cell_angle_beta 90.00
_cell_angle_gamma 90.00
_symmetry_space_group_name_H-M 'C m m m'
_symmetry_Int_Tables_number 65
_symmetry_space_group_name_Hall '-C 2 2'
loop_
_atom_site_label
_atom_site_fract_x
_atom_site_fract_y
_atom_site_fract_z
_atom_site_occupancy
Y1 0.0000 0.0000 0.0000 1
Y2 0.0000 0.5000 0.2604 1
Y3 0.2500 0.2500 0.2744 1
Ag1 0.1790 0.0000 0.5000 1
Au1 0.0000 0.2909 0.0000 1
```

(2)
The following is a DFT calculation (PBE) of a relaxed KCaSeBr2 crystal.

## Properties
Crystal system   tetragonal
ΔE_f (raw)   -0.67 eV/atom
N(E_F)   3.83 states/eV/cell
Electronic total energy   -2.6604 eV/atom

Structure (CIF):
```
data_KCaSeBr2
_cell_length_a 5.7239
_cell_length_b 5.7239
_cell_length_c 5.8149
_cell_angle_alpha 90.00
_cell_angle_beta 90.00
_cell_angle_gamma 90.00
_symmetry_space_group_name_H-M 'P 4/m m m'
_symmetry_Int_Tables_number 123
_symmetry_space_group_name_Hall '-P 4 2'
loop_
_atom_site_label
_atom_site_fract_x
_atom_site_fract_y
_atom_site_fract_z
_atom_site_occupancy
K1 0.0000 0.0000 0.0000 1
Ca1 0.5000 0.5000 0.5000 1
Se1 0.0000 0.0000 0.5000 1
Br1 0.0000 0.5000 0.0000 1
```

(3)
The following is a DFT calculation (PBE) of a relaxed BaSn2Sb2 crystal.

## Properties
Crystal system   orthorhombic
ΔE_f (raw)   -0.37 eV/atom
N(E_F)   11.79 states/eV/cell
Electronic total energy   -4.0031 eV/atom

Structure (CIF):
```
data_BaSn2Sb2
_cell_length_a 4.7341
_cell_length_b 30.1739
_cell_length_c 4.6663
_cell_angle_alpha 90.00
_cell_angle_beta 90.00
_cell_angle_gamma 90.00
_symmetry_space_group_name_H-M 'C m c m'
_symmetry_Int_Tables_number 63
_symmetry_space_group_name_Hall '-C 2c 2'
loop_
_atom_site_label
_atom_site_fract_x
_atom_site_fract_y
_atom_site_fract_z
_atom_site_occupancy
Ba1 0.0000 0.1591 0.2500 1
Sn1 0.0000 0.0404 0.7500 1
Sn2 0.0000 0.4536 0.7500 1
Sb1 0.0000 0.2507 0.7500 1
Sb2 0.0000 0.3874 0.2500 1
```

(4)
The following is a DFT calculation (PBE) of a relaxed Na5TlCd6 crystal.

## Properties
Crystal system   triclinic
DFT formation energy   -0.867 eV/f.u.
N(E_F)   3.20 states/eV/cell
Electronic total energy   -1.2766 eV/atom

Structure (CIF):
```
data_Na5TlCd6
_cell_length_a 4.6150
_cell_length_b 8.7733
_cell_length_c 8.7984
_cell_angle_alpha 65.95
_cell_angle_beta 74.98
_cell_angle_gamma 74.81
_symmetry_space_group_name_H-M 'P -1'
_symmetry_Int_Tables_number 2
loop_
_symmetry_equiv_pos_as_xyz
'x,y,z'
'-x,-y,-z'
loop_
_atom_site_label
_atom_site_fract_x
_atom_site_fract_y
_atom_site_fract_z
_atom_site_occupancy
Na1 0.0000 0.0000 0.0000 1
Na2 0.3328 0.1666 0.1668 1
Na3 0.3363 0.6628 0.6624 1
Tl1 0.0000 0.5000 0.5000 1
Cd1 0.1702 0.0812 0.5842 1
Cd2 0.1695 0.5833 0.0810 1
Cd3 0.4997 0.2473 0.7532 1
```

(5)
The following is a DFT calculation (PBE) of a relaxed La2PuWN5 crystal.

## Properties
Crystal system   orthorhombic
ΔE_f (raw)   -1.11 eV/atom
N(E_F)   26.56 states/eV/cell
Electronic total energy   -9.8607 eV/atom

Structure (CIF):
```
data_La2PuWN5
_cell_length_a 3.5558
_cell_length_b 14.0073
_cell_length_c 10.8569
_cell_angle_alpha 90.00
_cell_angle_beta 90.00
_cell_angle_gamma 90.00
_symmetry_space_group_name_H-M 'C m c 21'
_symmetry_Int_Tables_number 36
loop_
_symmetry_equiv_pos_as_xyz
'x,y,z'
'-x,-y,z+1/2'
'-x,y,z'
'x,-y,z+1/2'
'x+1/2,y+1/2,z'
'-x+1/2,-y+1/2,z+1/2'
'-x+1/2,y+1/2,z'
'x+1/2,-y+1/2,z+1/2'
loop_
_atom_site_label
_atom_site_fract_x
_atom_site_fract_y
_atom_site_fract_z
_atom_site_occupancy
La1 0.0000 0.1061 0.0000 1
La2 0.0000 0.1521 0.6099 1
Pu1 0.0000 0.2094 0.3239 1
W1 0.0000 0.4827 0.7662 1
N1 0.0000 0.0421 0.3427 1
N2 0.0000 0.2773 0.9650 1
N3 0.0000 0.3273 0.6994 1
N4 0.0000 0.3802 0.3170 1
N5 0.0000 0.4863 0.0992 1
```

(6)
The following is a DFT calculation (PBE) of a relaxed Pm4Dy10Ho crystal.

## Properties
Crystal system   tetragonal
DFT formation energy   11.250 eV/f.u.
N(E_F)   44.04 states/eV/cell
Electronic total energy   -3.8901 eV/atom

Structure (CIF):
```
data_Pm4Dy10Ho
_cell_length_a 12.2010
_cell_length_b 12.2010
_cell_length_c 7.7248
_cell_angle_alpha 90.00
_cell_angle_beta 90.00
_cell_angle_gamma 90.00
_symmetry_space_group_name_H-M 'I 4/m'
_symmetry_Int_Tables_number 87
_symmetry_space_group_name_Hall '-I 4'
loop_
_atom_site_label
_atom_site_fract_x
_atom_site_fract_y
_atom_site_fract_z
_atom_site_occupancy
Pm1 0.1007 0.2988 0.0000 1
Dy1 0.0000 0.5000 0.2500 1
Dy2 0.0988 0.8010 0.2521 1
Ho1 0.0000 0.0000 0.5000 1
```

(7)
The following is a DFT calculation (PBE) of a relaxed Si2HgMo crystal.

## Properties
Crystal system   orthorhombic
ΔE_f (raw)   0.28 eV/atom
N(E_F)   2.86 states/eV/cell
Electronic total energy   -5.2174 eV/atom

Structure (CIF):
```
data_Si2HgMo
_cell_length_a 3.4142
_cell_length_b 4.3973
_cell_length_c 10.3197
_cell_angle_alpha 90.00
_cell_angle_beta 90.00
_cell_angle_gamma 90.00
_symmetry_space_group_name_H-M 'C m m m'
_symmetry_Int_Tables_number 65
_symmetry_space_group_name_Hall '-C 2 2'
loop_
_atom_site_label
_atom_site_fract_x
_atom_site_fract_y
_atom_site_fract_z
_atom_site_occupancy
Si1 0.0000 0.0000 0.1886 1
Hg1 0.0000 0.5000 0.5000 1
Mo1 0.0000 0.5000 0.0000 1
```

(8)
The following is a DFT calculation (PBE) of a relaxed BeTe4Mo crystal.

## Properties
Crystal system   cubic
ΔE_f (raw)   1.34 eV/atom
N(E_F)   10.29 states/eV/cell
Electronic total energy   -3.1853 eV/atom

Structure (CIF):
```
data_BeTe4Mo
_cell_length_a 8.8826
_cell_length_b 8.8826
_cell_length_c 8.8826
_cell_angle_alpha 90.00
_cell_angle_beta 90.00
_cell_angle_gamma 90.00
_symmetry_space_group_name_H-M 'F -4 3 m'
_symmetry_Int_Tables_number 216
_symmetry_space_group_name_Hall 'F -4 2 3'
loop_
_atom_site_label
_atom_site_fract_x
_atom_site_fract_y
_atom_site_fract_z
_atom_site_occupancy
Be1 0.0000 0.0000 0.0000 1
Te1 0.1248 0.1248 0.3752 1
Mo1 0.2500 0.2500 0.7500 1
```

(9)
The following is a DFT calculation (PBE) of a relaxed CsPuNpS4 crystal.

## Properties
Crystal system   orthorhombic
ΔE_f (raw)   -1.37 eV/atom
N(E_F)   83.60 states/eV/cell
Electronic total energy   -7.7510 eV/atom

Structure (CIF):
```
data_CsPuNpS4
_cell_length_a 8.4930
_cell_length_b 8.6828
_cell_length_c 12.1329
_cell_angle_alpha 90.00
_cell_angle_beta 90.00
_cell_angle_gamma 90.00
_symmetry_space_group_name_H-M 'I m m a'
_symmetry_Int_Tables_number 74
_symmetry_space_group_name_Hall '-I 2b 2'
loop_
_atom_site_label
_atom_site_fract_x
_atom_site_fract_y
_atom_site_fract_z
_atom_site_occupancy
Cs1 0.0000 0.2500 0.1282 1
Pu1 0.0000 0.0000 0.5000 1
Np1 0.2500 0.2500 0.7500 1
S1 0.0000 0.0539 0.7273 1
S2 0.2020 0.2500 0.5284 1
```

(10)
The following is a DFT calculation (PBE) of a relaxed Tb2Pm12Th crystal.

## Properties
Crystal system   triclinic
DFT formation energy   0.960 eV/f.u.
N(E_F)   48.84 states/eV/cell
Electronic total energy   -4.8485 eV/atom

Structure (CIF):
```
data_Tb2Pm12Th
_cell_length_a 6.5502
_cell_length_b 6.9161
_cell_length_c 25.6310
_cell_angle_alpha 95.71
_cell_angle_beta 91.65
_cell_angle_gamma 116.88
_symmetry_space_group_name_H-M 'P -1'
_symmetry_Int_Tables_number 2
loop_
_symmetry_equiv_pos_as_xyz
'x,y,z'
'-x,-y,-z'
loop_
_atom_site_label
_atom_site_fract_x
_atom_site_fract_y
_atom_site_fract_z
_atom_site_occupancy
Tb1 0.0334 0.2595 0.2841 1
Tb2 0.4535 0.2667 0.7331 1
Pm1 0.0024 0.6009 0.1911 1
Pm2 0.0764 0.7934 0.3255 1
Pm3 0.1361 0.3965 0.5393 1
Pm4 0.1396 0.9884 0.8479 1
Pm5 0.1579 0.9398 0.5933 1
Pm6 0.1765 0.6605 0.9488 1
Pm7 0.2950 0.8968 0.0824 1
Pm8 0.3422 0.5845 0.4089 1
Pm9 0.3656 0.1120 0.4610 1
Pm10 0.4041 0.4678 0.1170 1
Pm11 0.4315 0.7050 0.6580 1
Pm12 0.4580 0.1739 0.2152 1
Th1 0.2644 0.2202 0.9849 1
```

(11)
The following is a DFT calculation (PBE) of a relaxed KScMo crystal.

## Properties
Crystal system   orthorhombic
DFT formation energy   2.373 eV/f.u.
N(E_F)   15.68 states/eV/cell
Electronic total energy   -5.2957 eV/atom

Structure (CIF):
```
data_KScMo
_cell_length_a 3.6422
_cell_length_b 4.7704
_cell_length_c 17.3620
_cell_angle_alpha 90.00
_cell_angle_beta 90.00
_cell_angle_gamma 90.00
_symmetry_space_group_name_H-M 'F m m 2'
_symmetry_Int_Tables_number 42
_symmetry_space_group_name_Hall 'F 2 -2'
loop_
_atom_site_label
_atom_site_fract_x
_atom_site_fract_y
_atom_site_fract_z
_atom_site_occupancy
K1 0.0000 0.0000 0.0000 1
Sc1 0.0000 0.0000 0.2908 1
Mo1 0.0000 0.0000 0.6741 1
```

What is the formula in the fourth record? Na5TlCd6

Among the records above, which one has the highest N(E_F)? CsPuNpS4